(1)
5
Lattice="4.248 0.000 0.000 0.000 4.248 0.000 0.000 0.000 3.486" Properties=species:S:1:pos:R:3 comment="AlSbOF2 meta-GGA SCAN PBEsol geometry" raw_formation_energy_kj_per_mol_atoms=-183.8 energy_ev_per_cell=-67.85 pbc="T T T"
Al 0.000 0.000 0.000
Sb 2.124 2.124 1.743
O 0.000 0.000 1.743
F 0.000 2.124 0.000
F 2.124 0.000 0.000


(2)
5
Lattice="3.702 0.000 0.000 0.000 3.702 0.000 0.000 0.000 3.604" Properties=species:S:1:pos:R:3 comment="ScAlO2F meta-GGA SCAN PBEsol geometry" raw_formation_energy_kj_per_mol_atoms=-287.0 energy_ev_per_cell=-52.87 pbc="T T T"
Sc 0.000 0.000 0.000
Al 1.851 1.851 1.802
O 0.000 1.851 1.802
O 1.851 0.000 1.802
F 1.851 1.851 0.000


(3)
5
Lattice="3.805 0.000 0.000 0.000 3.805 0.000 0.000 0.000 3.572" Properties=species:S:1:pos:R:3 comment="AlSeO2F meta-GGA SCAN PBEsol geometry" raw_formation_energy_kj_per_mol_atoms=-153.7 energy_ev_per_cell=-51.80 pbc="T T T"
Al 0.000 0.000 0.000
Se 1.902 1.902 1.786
O 0.000 1.902 0.000
O 1.902 0.000 0.000
F 0.000 0.000 1.786


(4)
5
Lattice="3.777 0.000 0.000 0.000 3.777 0.000 0.000 0.000 3.815" Properties=species:S:1:pos:R:3 comment="SrAlO2F meta-GGA SCAN PBEsol geometry" raw_formation_energy_kj_per_mol_atoms=-335.1 energy_ev_per_cell=-63.40 pbc="T T T"
Sr 0.000 0.000 0.000
Al 1.889 1.889 1.907
O 0.000 1.889 1.907
O 1.889 0.000 1.907
F 1.889 1.889 0.000


(5)
42
Lattice="7.376 0.000 0.000 -3.687 7.843 0.000 -3.687 -2.563 7.413" Properties=species:S:1:pos:R:3 comment="Ta6Al8O27F meta-GGA SCAN PBEsol geometry" raw_formation_energy_kj_per_mol_atoms=-305.3 energy_ev_per_cell=-766.18 pbc="T T T"
Ta 0.000 0.000 0.000
Ta -3.135 5.245 1.844
Ta -0.644 6.927 0.623
Ta -0.003 2.619 3.696
Ta 0.587 0.022 5.553
Ta 3.049 1.743 4.351
Al -1.838 -0.346 3.032
Al -5.177 5.172 4.685
Al -0.494 3.481 0.380
Al -2.483 4.543 5.167
Al -1.807 2.368 6.748
Al 2.236 2.534 1.044
Al -0.443 6.088 4.020
Al 4.893 1.887 1.468
O -0.949 1.616 0.374
O -4.125 7.000 1.849
O -2.486 6.171 0.117
O -1.979 3.706 1.422
O -3.576 4.844 3.653
O -1.432 1.477 2.978
O -0.895 -0.752 4.613
O -2.900 2.679 5.206
O -4.060 4.865 6.154
O 1.748 0.732 0.740
O 0.207 5.202 0.318
O -1.388 6.230 2.379
O 0.640 2.990 1.891
O -0.954 4.223 4.091
O -0.448 1.793 5.567
O 1.208 0.966 3.840
O 1.740 -1.496 5.102
O 0.093 -0.355 7.363
O -1.443 4.159 6.692
O 2.767 4.406 0.880
O 4.450 0.049 1.476
O 3.339 2.237 2.472
O 1.207 5.773 3.239
O 1.737 3.347 4.447
O 3.857 0.025 4.052
O 2.329 1.044 6.119
O 0.654 5.636 5.646
F -2.483 0.525 6.884


(6)
5
Lattice="4.538 0.000 0.000 0.000 4.538 0.000 0.000 0.000 4.066" Properties=species:S:1:pos:R:3 comment="AlTlOF2 meta-GGA SCAN PBEsol geometry" raw_formation_energy_kj_per_mol_atoms=-96.8 energy_ev_per_cell=-98.44 pbc="T T T"
Al 0.000 0.000 0.000
Tl 2.269 2.269 2.033
O 2.269 2.269 0.000
F 0.000 2.269 2.033
F 2.269 0.000 2.033


(7)
5
Lattice="4.238 0.000 0.000 0.000 4.238 0.000 0.000 0.000 3.517" Properties=species:S:1:pos:R:3 comment="YAlOF2 meta-GGA SCAN PBEsol geometry" raw_formation_energy_kj_per_mol_atoms=-234.9 energy_ev_per_cell=-61.08 pbc="T T T"
Y 0.000 0.000 0.000
Al 2.119 2.119 1.759
O 2.119 2.119 0.000
F 0.000 2.119 1.759
F 2.119 0.000 1.759


(8)
8
Lattice="0.000 3.961 3.961 3.961 0.000 3.961 3.961 3.961 0.000" Properties=species:S:1:pos:R:3 comment="AlPF2 meta-GGA SCAN PBEsol geometry" raw_formation_energy_kj_per_mol_atoms=-151.7 energy_ev_per_cell=-63.04 pbc="T T T"
Al 0.990 0.990 0.990
Al 6.932 6.932 6.932
P 2.971 2.971 2.971
P 4.952 4.952 4.952
F 0.000 0.000 0.000
F 1.981 1.981 0.000
F 1.981 0.000 1.981
F 0.000 1.981 1.981


(9)
8
Lattice="0.000 4.156 4.156 4.156 0.000 4.156 4.156 4.156 0.000" Properties=species:S:1:pos:R:3 comment="AlPbF2 meta-GGA SCAN PBEsol geometry" raw_formation_energy_kj_per_mol_atoms=-177.5 energy_ev_per_cell=-195.94 pbc="T T T"
Al 1.039 1.039 1.039
Al 7.273 7.273 7.273
Pb 3.117 3.117 3.117
Pb 5.195 5.195 5.195
F 0.000 0.000 0.000
F 2.078 2.078 0.000
F 2.078 0.000 2.078
F 0.000 2.078 2.078


(10)
56
Lattice="-7.120 7.120 3.594 7.120 -7.120 3.594 7.120 7.120 -3.594" Properties=species:S:1:pos:R:3 comment="AlPbF5 meta-GGA SCAN PBEsol geometry" raw_formation_energy_kj_per_mol_atoms=-313.4 energy_ev_per_cell=-991.76 pbc="T T T"
Al 7.120 0.000 0.000
Al 9.706 2.335 0.000
Al 0.000 0.000 1.782
Al 2.335 4.534 0.000
Al 0.000 7.120 0.000
Al 4.786 2.586 3.594
Al 0.000 0.000 5.405
Al -2.586 4.786 3.594
Pb 3.432 1.029 0.000
Pb 6.091 -3.688 3.594
Pb 6.410 3.926 0.000
Pb 3.195 -0.710 3.594
Pb 3.926 7.831 0.000
Pb 0.710 3.195 3.594
Pb 1.029 10.808 0.000
Pb 3.688 6.091 3.594
F 0.000 0.000 0.000
F 8.545 2.974 -1.235
F 8.743 0.751 0.000
F 3.505 -1.510 1.244
F 8.630 -3.615 2.350
F 6.208 1.576 0.000
F 7.767 5.442 -1.768
F 5.442 6.473 -1.768
F 2.974 5.695 -1.235
F 3.809 3.493 0.000
F 7.120 0.000 1.797
F 3.627 -3.311 3.594
F 10.735 1.510 1.244
F 1.678 0.647 1.825
F -0.647 1.678 1.825
F 8.545 2.974 1.235
F 0.751 5.498 0.000
F 1.510 3.505 1.244
F 4.146 1.425 2.359
F 5.544 -0.913 3.594
F 0.000 0.000 3.594
F 1.576 8.033 0.000
F 2.974 5.695 1.235
F 5.611 3.615 2.350
F 6.369 1.623 3.594
F -1.425 4.146 2.359
F 7.767 5.442 1.768
F 5.442 6.473 1.768
F -3.615 5.611 2.350
F 3.493 10.431 0.000
F 0.000 7.120 1.797
F 3.311 3.627 3.594
F 4.146 1.425 4.829
F 1.678 0.647 5.362
F -0.647 1.678 5.362
F 0.913 5.544 3.594
F -1.510 10.735 1.244
F 3.615 8.630 2.350
F -1.623 6.369 3.594
F -1.425 4.146 4.829


(11)
16
Lattice="6.623 0.000 0.000 0.000 6.623 0.000 0.000 0.000 6.623" Properties=species:S:1:pos:R:3 comment="Al2PbF meta-GGA SCAN PBEsol geometry" raw_formation_energy_kj_per_mol_atoms=-40.6 energy_ev_per_cell=-386.03 pbc="T T T"
Al 1.656 1.656 1.656
Al 1.656 1.656 4.967
Al 1.656 4.967 1.656
Al 1.656 4.967 4.967
Al 4.967 1.656 1.656
Al 4.967 1.656 4.967
Al 4.967 4.967 1.656
Al 4.967 4.967 4.967
Pb 0.000 0.000 0.000
Pb 0.000 3.312 3.312
Pb 3.312 0.000 3.312
Pb 3.312 3.312 0.000
F 0.000 0.000 3.312
F 0.000 3.312 0.000
F 3.312 0.000 0.000
F 3.312 3.312 3.312


(12)
5
Lattice="4.145 0.000 0.000 0.000 4.145 0.000 0.000 0.000 4.145" Properties=species:S:1:pos:R:3 comment="AlPbF3 meta-GGA SCAN PBEsol geometry" raw_formation_energy_kj_per_mol_atoms=-194.4 energy_ev_per_cell=-104.23 pbc="T T T"
Al 0.000 0.000 0.000
Pb 2.072 2.072 2.072
F 0.000 0.000 2.072
F 0.000 2.072 0.000
F 2.072 0.000 0.000


(13)
16
Lattice="5.919 0.000 0.000 0.000 5.919 0.000 0.000 0.000 5.919" Properties=species:S:1:pos:R:3 comment="AlPd2F meta-GGA SCAN PBEsol geometry" raw_formation_energy_kj_per_mol_atoms=-84.5 energy_ev_per_cell=-321.37 pbc="T T T"
Al 0.000 0.000 0.000
Al 0.000 2.959 2.959
Al 2.959 0.000 2.959
Al 2.959 2.959 0.000
Pd 1.480 1.480 1.480
Pd 1.480 1.480 4.439
Pd 1.480 4.439 1.480
Pd 1.480 4.439 4.439
Pd 4.439 1.480 1.480
Pd 4.439 1.480 4.439
Pd 4.439 4.439 1.480
Pd 4.439 4.439 4.439
F 0.000 0.000 2.959
F 0.000 2.959 0.000
F 2.959 0.000 0.000
F 2.959 2.959 2.959


(14)
5
Lattice="4.838 0.000 0.000 0.000 4.838 0.000 0.000 0.000 4.187" Properties=species:S:1:pos:R:3 comment="Al2SbPtF meta-GGA SCAN PBEsol geometry" raw_formation_energy_kj_per_mol_atoms=-34.3 energy_ev_per_cell=-128.28 pbc="T T T"
Al 0.000 2.419 0.000
Al 2.419 0.000 0.000
Sb 0.000 0.000 2.094
Pt 2.419 2.419 0.000
F 2.419 2.419 2.094


(15)
10
Lattice="0.000 4.422 4.422 4.422 0.000 4.422 4.422 4.422 0.000" Properties=species:S:1:pos:R:3 comment="Rb3AlF6 meta-GGA SCAN PBEsol geometry" raw_formation_energy_kj_per_mol_atoms=-325.9 energy_ev_per_cell=-124.99 pbc="T T T"
Rb 0.000 0.000 0.000
Rb 2.211 2.211 2.211
Rb 6.633 6.633 6.633
Al 4.422 4.422 4.422
F 4.422 4.422 2.601
F 4.422 2.601 4.422
F 6.243 4.422 4.422
F 2.601 4.422 4.422
F 4.422 6.243 4.422
F 4.422 4.422 6.243


(16)
44
Lattice="7.655 0.000 0.000 -3.827 6.629 0.000 0.000 0.000 12.577" Properties=species:S:1:pos:R:3 comment="Rb2Tb3AlF16 meta-GGA SCAN PBEsol geometry" raw_formation_energy_kj_per_mol_atoms=-351.4 energy_ev_per_cell=-652.59 pbc="T T T"
Rb 0.000 4.419 0.846
Rb 0.000 4.419 5.443
Rb 3.827 2.210 7.134
Rb 3.827 2.210 11.731
Tb 0.000 2.237 9.433
Tb -1.890 5.511 9.433
Tb 1.937 1.119 3.144
Tb 1.890 5.511 9.433
Tb 5.717 1.119 3.144
Tb 3.827 4.392 3.144
Al 0.000 0.000 0.000
Al 0.000 0.000 6.289
F 0.000 0.000 3.144
F 0.000 0.000 9.433
F -1.344 3.644 8.213
F -1.344 3.644 10.653
F 0.000 1.500 7.295
F 0.000 1.500 11.570
F -2.528 5.879 7.295
F -2.528 5.879 11.570
F 0.000 2.431 3.144
F -1.722 5.413 3.144
F 1.299 0.750 1.007
F 1.299 0.750 5.282
F 2.106 1.216 9.433
F 1.344 3.644 8.213
F 1.344 3.644 10.653
F 0.000 5.971 8.213
F 0.000 5.971 10.653
F 3.827 0.658 1.924
F 3.827 0.658 4.364
F 2.484 2.986 1.924
F 2.484 2.986 4.364
F 1.722 5.413 3.144
F 2.528 5.879 7.295
F 2.528 5.879 11.570
F 5.549 1.216 9.433
F 3.827 4.198 9.433
F 6.355 0.750 1.007
F 6.355 0.750 5.282
F 3.827 5.129 1.007
F 3.827 5.129 5.282
F 5.171 2.986 1.924
F 5.171 2.986 4.364


(17)
10
Lattice="0.000 4.426 4.426 4.426 0.000 4.426 4.426 4.426 0.000" Properties=species:S:1:pos:R:3 comment="Rb2AlTlF6 meta-GGA SCAN PBEsol geometry" raw_formation_energy_kj_per_mol_atoms=-302.9 energy_ev_per_cell=-174.22 pbc="T T T"
Rb 2.213 2.213 2.213
Rb 6.638 6.638 6.638
Al 0.000 0.000 0.000
Tl 4.426 4.426 4.426
F 4.426 4.426 1.822
F 4.426 1.822 4.426
F 7.029 4.426 4.426
F 1.822 4.426 4.426
F 4.426 7.029 4.426
F 4.426 4.426 7.029


(18)
5
Lattice="4.637 0.000 0.000 0.000 4.637 0.000 0.000 0.000 4.637" Properties=species:S:1:pos:R:3 comment="Al3RuF meta-GGA SCAN PBEsol geometry" raw_formation_energy_kj_per_mol_atoms=-46.3 energy_ev_per_cell=-64.02 pbc="T T T"
Al 0.000 0.000 2.318
Al 0.000 2.318 0.000
Al 2.318 0.000 0.000
Ru 0.000 0.000 0.000
F 2.318 2.318 2.318


(19)
5
Lattice="5.384 0.000 0.000 0.000 5.384 0.000 0.000 0.000 4.289" Properties=species:S:1:pos:R:3 comment="ScAl2RuF meta-GGA SCAN PBEsol geometry" raw_formation_energy_kj_per_mol_atoms=89.7 energy_ev_per_cell=-63.46 pbc="T T T"
Sc 0.000 0.000 0.000
Al 0.000 2.692 0.000
Al 2.692 0.000 0.000
Ru 0.000 0.000 2.144
F 2.692 2.692 2.144


(20)
12
Lattice="2.821 0.000 0.000 -1.410 2.443 0.000 0.000 0.000 27.855" Properties=species:S:1:pos:R:3 comment="AlSF2 meta-GGA SCAN PBEsol geometry" raw_formation_energy_kj_per_mol_atoms=-114.8 energy_ev_per_cell=-87.65 pbc="T T T"
Al 0.000 0.000 0.000
Al 0.000 1.629 18.570
Al 1.410 0.814 9.285
S 0.000 0.000 13.928
S 0.000 1.629 4.643
S 1.410 0.814 23.213
F 0.000 0.000 1.662
F 0.000 0.000 26.193
F 0.000 1.629 16.908
F 0.000 1.629 20.232
F 1.410 0.814 7.623
F 1.410 0.814 10.947


(21)
16
Lattice="4.371 0.000 0.000 0.000 4.371 0.000 0.000 0.000 13.877" Properties=species:S:1:pos:R:3 comment="Al2SF meta-GGA SCAN PBEsol geometry" raw_formation_energy_kj_per_mol_atoms=-91.4 energy_ev_per_cell=-129.84 pbc="T T T"
Al 0.758 1.093 1.735
Al 1.093 2.943 5.204
Al 1.093 3.613 12.143
Al 1.428 1.093 8.673
Al 2.943 3.278 8.673
Al 3.278 0.758 12.143
Al 3.278 1.428 5.204
Al 3.613 3.278 1.735
S 0.000 0.000 6.939
S 0.000 2.185 10.408
S 2.185 0.000 3.469
S 2.185 2.185 0.000
F 0.000 0.000 0.000
F 0.000 2.185 3.469
F 2.185 0.000 10.408
F 2.185 2.185 6.939